*w*
Computed, not measured: In6AgAu12 after structural relaxation at the PBE-GGA level of DFT.

Values from the calculation:
total moment: 0.00 μB per formula unit
SG: No. 2

Unit cell a=7.6815 b=7.7138 c=7.7580 alpha=106.88 beta=105.87 gamma=105.83
Closest atoms and distances in Å follow each position.
Fractional coordinates of all 19 atoms:
In: 0.0623 0.3424 0.3334  7 Au 2.80-3.07
In: 0.1555 0.1699 0.9367  7 Au 2.79-3.04
In: 0.3317 0.5632 0.8442  7 Au 2.81-3.02
In: 0.6683 0.4368 0.1558  7 Au 2.81-3.02
In: 0.8445 0.8301 0.0633  7 Au 2.79-3.04
In: 0.9377 0.6576 0.6666  7 Au 2.80-3.07
Ag: 0.5000 0.0000 0.5000  12 Au 2.89-2.98
Au: 0.0903 0.7204 0.3613  4 In 2.80-3.04, 5 Au 2.86-3.02, 1 Ag 2.97
Au: 0.2090 0.1489 0.5709  6 Au 2.86-3.06, 3 In 2.88-2.99, 1 Ag 2.89
Au: 0.2229 0.8636 0.0894  4 In 2.79-3.04, 5 Au 2.88-3.00, 1 Ag 2.98
Au: 0.3494 0.9294 0.7893  3 In 2.86-2.98, 6 Au 2.88-3.11, 1 Ag 2.91
Au: 0.3646 0.5888 0.2208  4 In 2.81-3.07, 5 Au 2.87-3.00, 1 Ag 2.97
Au: 0.4285 0.2904 0.3512  6 Au 2.87-3.06, 3 In 2.89-3.02, 1 Ag 2.91
Au: 0.5715 0.7096 0.6488  6 Au 2.87-3.06, 3 In 2.89-3.02, 1 Ag 2.91
Au: 0.6354 0.4112 0.7792  4 In 2.81-3.07, 5 Au 2.87-3.00, 1 Ag 2.97
Au: 0.6506 0.0706 0.2107  3 In 2.86-2.98, 6 Au 2.88-3.11, 1 Ag 2.91
Au: 0.7771 0.1364 0.9106  4 In 2.79-3.04, 5 Au 2.88-3.00, 1 Ag 2.98
Au: 0.7910 0.8511 0.4291  6 Au 2.86-3.06, 3 In 2.88-2.99, 1 Ag 2.89
Au: 0.9097 0.2796 0.6387  4 In 2.80-3.04, 5 Au 2.86-3.02, 1 Ag 2.97

***

*x*
Computed, not measured: In6AgAu12 after structural relaxation at the PBE-GGA level of DFT.

Values from the calculation:
total moment: 0.00 μB per formula unit
SG: No. 148

Unit cell a=7.4499 b=7.4499 c=7.4499 alpha=87.38 beta=87.38 gamma=87.38
Closest atoms and distances in Å follow each position.
Fractional coordinates of all 19 atoms:
In: 0.1825 0.2464 0.6420  6 Au 2.81-3.06
In: 0.2464 0.6420 0.1825  6 Au 2.81-3.06
In: 0.3580 0.8175 0.7536  6 Au 2.81-3.06
In: 0.6420 0.1825 0.2464  6 Au 2.81-3.06
In: 0.7536 0.3580 0.8175  6 Au 2.81-3.06
In: 0.8175 0.7536 0.3580  6 Au 2.81-3.06
Ag: 0.0000 0.0000 0.0000  6 Au 2.75
Au: 0.0422 0.3459 0.0980  4 Au 2.73-2.90, 1 Ag 2.75, 1 In 2.85
Au: 0.0980 0.0422 0.3459  4 Au 2.73-2.90, 1 Ag 2.75, 1 In 2.85
Au: 0.1336 0.6224 0.5495  4 In 2.81-2.92, 3 Au 2.90-3.08
Au: 0.3459 0.0980 0.0422  4 Au 2.73-2.90, 1 Ag 2.75, 1 In 2.85
Au: 0.3776 0.4505 0.8664  4 In 2.81-2.92, 3 Au 2.90-3.08
Au: 0.4505 0.8664 0.3776  4 In 2.81-2.92, 3 Au 2.90-3.08
Au: 0.5495 0.1336 0.6224  4 In 2.81-2.92, 3 Au 2.90-3.08
Au: 0.6224 0.5495 0.1336  4 In 2.81-2.92, 3 Au 2.90-3.08
Au: 0.6541 0.9020 0.9578  4 Au 2.73-2.90, 1 Ag 2.75, 1 In 2.85
Au: 0.8664 0.3776 0.4505  4 In 2.81-2.92, 3 Au 2.90-3.08
Au: 0.9020 0.9578 0.6541  4 Au 2.73-2.90, 1 Ag 2.75, 1 In 2.85
Au: 0.9578 0.6541 0.9020  4 Au 2.73-2.90, 1 Ag 2.75, 1 In 2.85

***

Relative to the most stable one, in kJ/mol of atoms, the structures come out at *w* 0.0; *x* 5.4.

***

*w*
Computed, not measured: In2AgAu3 after structural relaxation at the PBE-GGA level of DFT.

Values from the calculation:
total moment: 0.00 μB per formula unit
SG: No. 70

Unit cell a=10.4437 b=10.3771 c=7.7705 alpha=68.54 beta=67.63 gamma=43.83
Closest atoms and distances in Å follow each position.
Fractional coordinates of all 24 atoms:
In: 0.2189 0.7456 0.2718  4 Au 2.73-2.91, 1 Ag 2.97
In: 0.2544 0.7811 0.7364  4 Au 2.73-2.91, 1 Ag 2.97
In: 0.2636 0.2718 0.7456  4 Au 2.73-2.91, 1 Ag 2.97
In: 0.2718 0.2636 0.2189  4 Au 2.73-2.91, 1 Ag 2.97
In: 0.7282 0.7364 0.7811  4 Au 2.73-2.91, 1 Ag 2.97
In: 0.7364 0.7282 0.2544  4 Au 2.73-2.91, 1 Ag 2.97
In: 0.7456 0.2189 0.2636  4 Au 2.73-2.91, 1 Ag 2.97
In: 0.7811 0.2544 0.7282  4 Au 2.73-2.91, 1 Ag 2.97
Ag: 0.0646 0.6854 0.6854  4 Au 2.86-2.91, 4 In 2.97-3.06
Ag: 0.3146 0.9354 0.9354  4 Au 2.86-2.91, 4 In 2.97-3.06
Ag: 0.6854 0.0646 0.0646  4 Au 2.86-2.91, 4 In 2.97-3.06
Ag: 0.9354 0.3146 0.3146  4 Au 2.86-2.91, 4 In 2.97-3.06
Au: 0.0000 0.5000 0.5000  4 In 2.83-2.85, 2 Au 2.85
Au: 0.0605 0.6895 0.0605  2 Au 2.81, 2 Ag 2.91, 2 In 2.91
Au: 0.1317 0.1317 0.6183  2 In 2.73, 4 Au 2.81-2.85, 2 Ag 2.86
Au: 0.3105 0.9395 0.3105  2 Au 2.81, 2 Ag 2.91, 2 In 2.91
Au: 0.3817 0.3817 0.8683  2 In 2.73, 4 Au 2.81-2.85, 2 Ag 2.86
Au: 0.5000 0.0000 0.5000  4 In 2.83-2.85, 2 Au 2.85
Au: 0.5000 0.5000 0.0000  4 In 2.83-2.85, 2 Au 2.85
Au: 0.5000 0.5000 0.5000  4 In 2.83-2.85, 2 Au 2.85
Au: 0.6183 0.6183 0.1317  2 In 2.73, 4 Au 2.81-2.85, 2 Ag 2.86
Au: 0.6895 0.0605 0.6895  2 Au 2.81, 2 Ag 2.91, 2 In 2.91
Au: 0.8683 0.8683 0.3817  2 In 2.73, 4 Au 2.81-2.85, 2 Ag 2.86
Au: 0.9395 0.3105 0.9395  2 Au 2.81, 2 Ag 2.91, 2 In 2.91

***

*x*
Computed, not measured: In2AgAu3 after structural relaxation at the PBE-GGA level of DFT.

Values from the calculation:
total moment: 0.00 μB per formula unit
SG: No. 63

Unit cell a=6.2557 b=6.2557 c=6.5927 alpha=90.00 beta=90.00 gamma=97.27
Closest atoms and distances in Å follow each position.
Fractional coordinates of all 12 atoms:
In: 0.0710 0.5720 0.7500  5 Au 2.81-2.99, 1 In 2.95, 1 Ag 3.08
In: 0.4280 0.9290 0.7500  5 Au 2.81-2.99, 1 In 2.95, 1 Ag 3.08
In: 0.5720 0.0710 0.2500  5 Au 2.81-2.99, 1 In 2.95, 1 Ag 3.08
In: 0.9290 0.4280 0.2500  5 Au 2.81-2.99, 1 In 2.95, 1 Ag 3.08
Ag: 0.4631 0.5369 0.2500  5 Au 2.86-2.91, 2 In 3.08
Ag: 0.5369 0.4631 0.7500  5 Au 2.86-2.91, 2 In 3.08
Au: 0.1533 0.8467 0.2500  2 In 2.81, 4 Au 2.85, 1 Ag 2.91
Au: 0.2209 0.2209 0.0000  2 Au 2.85, 2 Ag 2.86, 4 In 2.89-2.99
Au: 0.2209 0.2209 0.5000  2 Au 2.85, 2 Ag 2.86, 4 In 2.89-2.99
Au: 0.7791 0.7791 0.0000  2 Au 2.85, 2 Ag 2.86, 4 In 2.89-2.99
Au: 0.7791 0.7791 0.5000  2 Au 2.85, 2 Ag 2.86, 4 In 2.89-2.99
Au: 0.8467 0.1533 0.7500  2 In 2.81, 4 Au 2.85, 1 Ag 2.91

***

Relative to the most stable one, in kJ/mol of atoms, the structures come out at *w* 0.0; *x* 2.2.

***

*w*
Computed, not measured: AgIrAu3 after structural relaxation at the PBE-GGA level of DFT.

Values from the calculation:
total moment: 0.77 μB per formula unit
SG: No. 221

Unit cell a=4.9457 b=4.9457 c=4.9457 alpha=90.00 beta=90.00 gamma=90.00
Closest atoms and distances in Å follow each position.
Fractional coordinates of all 5 atoms:
Ag: 0.0000 0.0000 0.0000  6 Au 2.47
Ir: 0.5000 0.5000 0.5000  12 Au 3.50
Au: 0.0000 0.0000 0.5000  2 Ag 2.47
Au: 0.0000 0.5000 0.0000  2 Ag 2.47
Au: 0.5000 0.0000 0.0000  2 Ag 2.47

***

*x*
Computed, not measured: AgIrAu3 after structural relaxation at the PBE-GGA level of DFT.

Values from the calculation:
total moment: 0.00 μB per formula unit
SG: No. 221

Unit cell a=5.0338 b=5.0338 c=5.0338 alpha=90.00 beta=90.00 gamma=90.00
Closest atoms and distances in Å follow each position.
Fractional coordinates of all 5 atoms:
Ag: 0.0000 0.0000 0.0000  12 Au 3.56
Ir: 0.5000 0.5000 0.5000  6 Au 2.52
Au: 0.0000 0.5000 0.5000  2 Ir 2.52
Au: 0.5000 0.0000 0.5000  2 Ir 2.52
Au: 0.5000 0.5000 0.0000  2 Ir 2.52

***

Relative to the most stable one, in kJ/mol of atoms, the structures come out at *w* 58.1; *x* 0.0.

***

*w*
Computed, not measured: K3Ag2Au4 after structural relaxation at the PBE-GGA level of DFT.

Values from the calculation:
total moment: 0.00 μB per formula unit
SG: No. 12

Unit cell a=6.4065 b=6.4065 c=9.3404 alpha=102.94 beta=102.94 gamma=43.80
Closest atoms and distances in Å follow each position.
Fractional coordinates of all 9 atoms:
K: 0.0000 0.0000 0.0000  2 Au 3.20
K: 0.3748 0.3748 0.6246  6 Au 3.42-3.48, 4 Ag 3.52-3.83
K: 0.6252 0.6252 0.3754  6 Au 3.42-3.48, 4 Ag 3.52-3.83
Ag: 0.3231 0.3231 0.2287  5 Au 2.76-2.86
Ag: 0.6769 0.6769 0.7713  5 Au 2.76-2.86
Au: 0.0850 0.0850 0.6287  2 Au 2.74-2.88, 2 Ag 2.82
Au: 0.2452 0.2452 0.9143  3 Ag 2.76-2.86, 3 Au 2.86-2.88
Au: 0.7548 0.7548 0.0857  3 Ag 2.76-2.86, 3 Au 2.86-2.88
Au: 0.9150 0.9150 0.3713  2 Au 2.74-2.88, 2 Ag 2.82

***

*x*
Computed, not measured: K3Ag2Au4 after structural relaxation at the PBE-GGA level of DFT.

Values from the calculation:
total moment: 0.00 μB per formula unit
SG: No. 12

Unit cell a=6.3490 b=6.3490 c=9.2880 alpha=104.23 beta=104.23 gamma=44.50
Closest atoms and distances in Å follow each position.
Fractional coordinates of all 9 atoms:
K: 0.0000 0.0000 0.0000  6 Au 3.44-3.51
K: 0.3746 0.3746 0.3016  7 Au 3.32-3.50, 4 Ag 3.43-3.50
K: 0.6254 0.6254 0.6984  7 Au 3.32-3.50, 4 Ag 3.43-3.50
Ag: 0.3214 0.3214 0.6550  4 Au 2.78-2.91
Ag: 0.6786 0.6786 0.3450  4 Au 2.78-2.91
Au: 0.0946 0.0946 0.4309  3 Ag 2.79-2.91, 1 Au 2.85
Au: 0.2741 0.2741 0.9324  1 Ag 2.78, 2 Au 2.84
Au: 0.7259 0.7259 0.0676  1 Ag 2.78, 2 Au 2.84
Au: 0.9054 0.9054 0.5691  3 Ag 2.79-2.91, 1 Au 2.85

***

Relative to the most stable one, in kJ/mol of atoms, the structures come out at *w* 0.0; *x* 5.6.

***

*w*
Computed, not measured: KAg2Au2 after structural relaxation at the PBE-GGA level of DFT.

Values from the calculation:
total moment: 0.00 μB per formula unit
SG: No. 127

Unit cell a=8.5583 b=8.5583 c=2.9296 alpha=90.00 beta=90.00 gamma=90.00
Closest atoms and distances in Å follow each position.
Fractional coordinates of all 10 atoms:
K: 0.0000 0.0000 0.0000  2 K 2.93
K: 0.5000 0.5000 0.0000  2 K 2.93
Ag: 0.1184 0.3816 0.0000  3 Ag 2.87-2.93, 6 Au 2.88-2.96
Ag: 0.3816 0.8816 0.0000  3 Ag 2.87-2.93, 6 Au 2.88-2.96
Ag: 0.6184 0.1184 0.0000  3 Ag 2.87-2.93, 6 Au 2.88-2.96
Ag: 0.8816 0.6184 0.0000  3 Ag 2.87-2.93, 6 Au 2.88-2.96
Au: 0.1769 0.6769 0.5000  6 Ag 2.88-2.96, 2 Au 2.93
Au: 0.3231 0.1769 0.5000  6 Ag 2.88-2.96, 2 Au 2.93
Au: 0.6769 0.8231 0.5000  6 Ag 2.88-2.96, 2 Au 2.93
Au: 0.8231 0.3231 0.5000  6 Ag 2.88-2.96, 2 Au 2.93

***

*x*
Computed, not measured: KAg2Au2 after structural relaxation at the PBE-GGA level of DFT.

Values from the calculation:
total moment: 0.00 μB per formula unit
SG: No. 139

Unit cell a=4.2808 b=4.2808 c=12.9730 alpha=90.00 beta=90.00 gamma=90.00
Closest atoms and distances in Å follow each position.
Fractional coordinates of all 10 atoms:
K: 0.0000 0.0000 0.0000  8 Au 3.32
K: 0.5000 0.5000 0.5000  8 Au 3.32
Ag: 0.0000 0.5000 0.2500  4 Au 2.85, 4 Ag 3.03
Ag: 0.0000 0.5000 0.7500  4 Au 2.85, 4 Ag 3.03
Ag: 0.5000 0.0000 0.2500  4 Au 2.85, 4 Ag 3.03
Ag: 0.5000 0.0000 0.7500  4 Au 2.85, 4 Ag 3.03
Au: 0.0000 0.0000 0.3952  1 Au 2.72, 4 Ag 2.85
Au: 0.0000 0.0000 0.6048  1 Au 2.72, 4 Ag 2.85
Au: 0.5000 0.5000 0.1048  1 Au 2.72, 4 Ag 2.85
Au: 0.5000 0.5000 0.8952  1 Au 2.72, 4 Ag 2.85

***

Relative to the most stable one, in kJ/mol of atoms, the structures come out at *w* 0.0; *x* 3.2.